Entry 1:
DyErGa6: relaxed, PBE.

Cell: 4.592 6.230 6.230 Å, 119.98 90.00 90.00°
Fractional positions:
Er1 0.000 0.083 0.917
Ga1 0.500 0.898 0.102
Ga2 0.500 0.898 0.547
Ga3 0.500 0.453 0.102
Ga4 0.000 0.602 0.398
Ga5 0.000 0.045 0.397
Ga6 0.000 0.603 0.955
Dy1 0.500 0.416 0.584

Results
SG: P-6m2, No. 187
Energy relative to the elements (meV/atom): -520
Magnetic moment (μB/f.u.): 0.0
Energy (eV per cell): -31.5



Entry 2:
Ca3Ho3MnS8: relaxed, PBE.

Cell: 7.802 7.802 7.925 Å, 119.49 90.00 120.00°
Fractional positions:
S1 0.761 0.008 0.269
S2 0.752 0.992 0.731
S3 0.253 0.505 0.258
S4 0.248 0.008 0.269
S5 0.239 0.992 0.731
S6 0.761 0.522 0.269
S7 0.239 0.478 0.731
S8 0.747 0.495 0.742
Ca1 0.500 0.500 0.000
Ca2 0.000 0.000 0.000
Ca3 0.000 0.500 0.000
Mn1 0.000 0.000 0.500
Ho1 0.500 0.000 0.500
Ho2 0.500 0.500 0.500
Ho3 0.000 0.500 0.500

Results
SG: R-3m, No. 166
Formation energy without anion corrections (eV per formula unit): -28.06
Magnetic moment (μB/f.u.): 4.7
Energy (eV per cell): -90.0



Entry 3:
Ba2GaSb: relaxed, PBE.

Cell: 4.648 5.588 5.588 Å, 90.00 90.00 90.00°
Fractional positions:
Ba1 0.000 0.000 0.500
Ba2 0.000 0.500 0.000
Sb1 0.500 0.000 0.000
Ga1 0.500 0.500 0.500

Results
Excess energy over the best structure of this formula in the dataset (eV per atom): 0.000
SG: P4/mmm, No. 123
Formation energy without anion corrections (eV per formula unit): -2.47
Magnetic moment (μB/f.u.): 0.0
Energy (eV per cell): -13.5



Entry 4:
Pr3Tl5H12: relaxed, PBE.

Cell: 11.879 11.879 11.879 Å, 109.47 109.47 109.47°
Fractional positions:
Tl1 0.750 0.125 0.875
Tl2 0.000 0.000 0.000
Tl3 0.500 0.000 0.500
Tl4 0.625 0.750 0.875
Tl5 0.500 0.500 0.500
Tl6 0.500 0.500 0.000
Tl7 0.625 0.875 0.250
Tl8 0.375 0.250 0.125
Tl9 0.250 0.875 0.125
Tl10 0.375 0.125 0.750
Tl11 0.000 0.000 0.500
Tl12 0.125 0.375 0.250
Tl13 0.875 0.250 0.625
Tl14 0.000 0.500 0.000
Tl15 0.000 0.500 0.500
Tl16 0.125 0.750 0.375
Tl17 0.875 0.625 0.750
Tl18 0.500 0.000 0.000
Tl19 0.750 0.625 0.375
Tl20 0.250 0.375 0.625
Pr1 0.625 0.250 0.375
Pr2 0.750 0.875 0.625
Pr3 0.250 0.125 0.375
Pr4 0.625 0.375 0.750
Pr5 0.250 0.625 0.875
Pr6 0.375 0.625 0.250
Pr7 0.125 0.250 0.875
Pr8 0.875 0.750 0.125
Pr9 0.750 0.375 0.125
Pr10 0.375 0.750 0.625
Pr11 0.875 0.125 0.250
Pr12 0.125 0.875 0.750
H1 0.918 0.578 0.163
H2 0.082 0.422 0.837
H3 0.578 0.661 0.415
H4 0.837 0.915 0.255
H5 0.339 0.422 0.085
H6 0.582 0.245 0.161
H7 0.161 0.745 0.582
H8 0.663 0.418 0.578
H9 0.161 0.415 0.078
H10 0.415 0.255 0.337
H11 0.085 0.163 0.245
H12 0.418 0.663 0.078
H13 0.839 0.585 0.922
H14 0.255 0.839 0.918
H15 0.839 0.255 0.418
H16 0.078 0.915 0.161
H17 0.915 0.837 0.755
H18 0.745 0.585 0.163
H19 0.415 0.161 0.578
H20 0.663 0.245 0.585
H21 0.922 0.837 0.582
H22 0.585 0.745 0.663
H23 0.245 0.582 0.661
H24 0.661 0.578 0.915
H25 0.582 0.337 0.922
H26 0.082 0.661 0.745
H27 0.255 0.415 0.837
H28 0.755 0.418 0.339
H29 0.078 0.163 0.418
H30 0.422 0.339 0.585
H31 0.578 0.918 0.663
H32 0.163 0.085 0.745
H33 0.337 0.755 0.415
H34 0.339 0.918 0.755
H35 0.337 0.582 0.422
H36 0.915 0.078 0.661
H37 0.661 0.082 0.245
H38 0.745 0.161 0.082
H39 0.422 0.082 0.337
H40 0.918 0.339 0.255
H41 0.418 0.755 0.839
H42 0.837 0.922 0.082
H43 0.245 0.663 0.085
H44 0.163 0.078 0.918
H45 0.585 0.839 0.422
H46 0.085 0.922 0.339
H47 0.755 0.337 0.915
H48 0.922 0.085 0.839

Results
SG: Ia-3d, No. 230
Magnetic moment (μB/f.u.): 0.0
Energy (eV per cell): -262.1



Question: Which of these has the lowest energy?
Answer: Pr3Tl5H12